A relaxed structure of Y2BeAgB, computed with GGA-PBE.

Results
DOS at the Fermi energy   3.96 states/eV per cell
Energy of formation   -0.13 eV/atom
Space group   P4/mmm, No. 123
Electronic total energy   -5.37 eV per atom

Geometry as POSCAR:
```
Y2BeAgB
1.0
5.146 0.000 0.000
0.000 5.146 0.000
0.000 0.000 3.686
Ag Y B Be
1 2 1 1
Cartesian
2.573 2.573 1.843
2.573 0.000 0.000
0.000 2.573 0.000
0.000 0.000 0.000
0.000 0.000 1.843
```